Below is a relaxed Zr3ZnRu crystal, with properties calculated at the PBE-GGA level.

The space group is Pm-3m (No. 221) and the conventional cell measures 5.0046, 5.0046 and 5.0046 Å, with angles of 90.00, 90.00 and 90.00 degrees. Symmetry generates all atoms from Zr at (0.0000, 0.0000, 0.5000), Zn at (0.5000, 0.5000, 0.5000) and Ru at (0.0000, 0.0000, 0.0000).

The formation energy comes out at 0.37 eV per atom. The calculation puts the density of states at the Fermi level at 11.37 states/eV/f.u. The value obtained for the energy above the lowest structure with this stoichiometry is 0.000 eV/atom. The total magnetic moment is 0.00 μB/cell. As for the electronic total energy: -6.86 eV/atom.